The following is a DFT calculation (PBE-GGA) of crystalline Li4Ca5Ga at its relaxed geometry.

Computed properties:
* calculated formation energy: -0.08 eV per atom
* E: -21.49 eV/cell
* volume: 29.65 A^3/atom

a = 3.870 Å, b = 3.870 Å, c = 19.792 Å
α = 90.00°, β = 90.00°, γ = 90.00°
Space group P4/mmm (No. 123)
One atom of each set of equivalent atoms:
Li 0.000 0.000 0.103 (multiplicity 2)
Li 0.000 0.000 0.310 (multiplicity 2)
Ca 0.500 0.500 0.000 (multiplicity 1)
Ca 0.500 0.500 0.206 (multiplicity 2)
Ca 0.500 0.500 0.414 (multiplicity 2)
Ga 0.000 0.000 0.500 (multiplicity 1)

---

The following is a DFT calculation (PBE-GGA) of crystalline Li2Ca2Ga at its relaxed geometry.

Computed properties:
* calculated formation energy: -0.17 eV per atom
* E: -46.79 eV/cell
* volume: 26.04 A^3/atom

a = 11.135 Å, b = 4.897 Å, c = 10.606 Å
α = 90.00°, β = 115.80°, γ = 90.00°
Space group C2/m (No. 12)
One atom of each set of equivalent atoms:
Li 0.124 0.000 0.468 (multiplicity 4)
Li 0.137 0.500 0.090 (multiplicity 4)
Ca 0.056 0.000 0.856 (multiplicity 4)
Ca 0.175 0.500 0.669 (multiplicity 4)
Ga 0.116 0.500 0.331 (multiplicity 4)

---

The following is a DFT calculation (PBE-GGA) of crystalline LiCa2Ga10 at its relaxed geometry.

Computed properties:
* calculated formation energy: -0.17 eV per atom
* E: -76.83 eV/cell
* volume: 22.80 A^3/atom

a = 5.867 Å, b = 15.659 Å, c = 6.538 Å
α = 90.00°, β = 99.26°, γ = 90.00°
Space group P2_1/c (No. 14)
One atom of each set of equivalent atoms:
Li 0.000 0.000 0.000 (multiplicity 2)
Ca 0.462 0.108 0.791 (multiplicity 4)
Ga 0.002 0.161 0.998 (multiplicity 4)
Ga 0.075 0.187 0.443 (multiplicity 4)
Ga 0.075 0.554 0.858 (multiplicity 4)
Ga 0.246 0.583 0.251 (multiplicity 4)
Ga 0.325 0.082 0.268 (multiplicity 4)

---

The following is a DFT calculation (PBE-GGA) of crystalline Li2Ca7Ga2 at its relaxed geometry.

Computed properties:
* calculated formation energy: 0.03 eV per atom
* E: -47.06 eV/cell
* volume: 33.82 A^3/atom

a = 7.613 Å, b = 11.615 Å, c = 8.413 Å
α = 90.00°, β = 90.00°, γ = 90.00°
Space group Cmmm (No. 65)
One atom of each set of equivalent atoms:
Li 0.000 0.179 0.000 (multiplicity 4)
Ca 0.000 0.000 0.293 (multiplicity 4)
Ca 0.000 0.500 0.000 (multiplicity 2)
Ca 0.250 0.250 0.296 (multiplicity 8)
Ga 0.163 0.500 0.500 (multiplicity 4)

---

The following is a DFT calculation (PBE-GGA) of crystalline Li2CaGa2 at its relaxed geometry.

Computed properties:
* calculated formation energy: -0.26 eV per atom
* E: -26.33 eV/cell
* volume: 19.08 A^3/atom

a = 7.923 Å, b = 7.923 Å, c = 3.039 Å
α = 90.00°, β = 90.00°, γ = 90.00°
Space group P4/mbm (No. 127)
One atom of each set of equivalent atoms:
Li 0.121 0.379 0.000 (multiplicity 4)
Ca 0.000 0.000 0.000 (multiplicity 2)
Ga 0.173 0.673 0.500 (multiplicity 4)

---

The following is a DFT calculation (PBE-GGA) of crystalline LiCaGa2 at its relaxed geometry.

Computed properties:
* calculated formation energy: -0.13 eV per atom
* E: -42.01 eV/cell
* volume: 24.57 A^3/atom

a = 4.637 Å, b = 4.637 Å, c = 18.285 Å
α = 90.00°, β = 90.00°, γ = 90.00°
Space group I-42d (No. 122)
One atom of each set of equivalent atoms:
Li 0.000 0.000 0.000 (multiplicity 4)
Ca 0.000 0.000 0.500 (multiplicity 4)
Ga 0.102 0.250 0.125 (multiplicity 8)

---

The following is a DFT calculation (PBE-GGA) of crystalline Li2CaGa6 at its relaxed geometry.

Computed properties:
* calculated formation energy: -0.30 eV per atom
* E: -53.37 eV/cell
* volume: 19.16 A^3/atom

a = 3.681 Å, b = 7.440 Å, c = 12.590 Å
α = 90.00°, β = 90.00°, γ = 90.00°
Space group Immm (No. 71)
One atom of each set of equivalent atoms:
Li 0.000 0.000 0.130 (multiplicity 4)
Ca 0.000 0.500 0.000 (multiplicity 2)
Ga 0.000 0.181 0.315 (multiplicity 8)
Ga 0.000 0.333 0.500 (multiplicity 4)

---

The following is a DFT calculation (PBE-GGA) of crystalline Li5Ca6Ga at its relaxed geometry.

Computed properties:
* calculated formation energy: -0.07 eV per atom
* E: -25.49 eV/cell
* volume: 29.52 A^3/atom

a = 5.492 Å, b = 7.789 Å, c = 8.708 Å
α = 90.00°, β = 108.01°, γ = 90.00°
Space group P2/m (No. 10)
One atom of each set of equivalent atoms:
Li 0.000 0.000 0.000 (multiplicity 1)
Li 0.331 0.000 0.660 (multiplicity 2)
Li 0.331 0.500 0.661 (multiplicity 2)
Ca 0.159 0.259 0.320 (multiplicity 4)
Ca 0.500 0.265 0.000 (multiplicity 2)
Ga 0.000 0.500 0.000 (multiplicity 1)

---

The following is a DFT calculation (PBE-GGA) of crystalline Li2Ca8Ga at its relaxed geometry.

Computed properties:
* calculated formation energy: -0.06 eV per atom
* E: -46.97 eV/cell
* volume: 34.69 A^3/atom

a = 19.084 Å, b = 5.591 Å, c = 7.530 Å
α = 90.00°, β = 108.23°, γ = 90.00°
Space group C2/m (No. 12)
One atom of each set of equivalent atoms:
Li 0.181 0.000 0.206 (multiplicity 4)
Ca 0.023 0.000 0.290 (multiplicity 4)
Ca 0.091 0.500 0.932 (multiplicity 4)
Ca 0.158 0.500 0.463 (multiplicity 4)
Ca 0.200 0.000 0.799 (multiplicity 4)
Ga 0.000 0.500 0.500 (multiplicity 2)

---

The following is a DFT calculation (PBE-GGA) of crystalline LiCa3Ga2 at its relaxed geometry.

Computed properties:
* calculated formation energy: -0.31 eV per atom
* E: -15.81 eV/cell
* volume: 26.63 A^3/atom

a = 3.735 Å, b = 3.735 Å, c = 11.449 Å
α = 90.00°, β = 90.00°, γ = 90.00°
Space group P4/mmm (No. 123)
One atom of each set of equivalent atoms:
Li 0.000 0.000 0.000 (multiplicity 1)
Ca 0.500 0.500 0.191 (multiplicity 2)
Ca 0.500 0.500 0.500 (multiplicity 1)
Ga 0.000 0.000 0.341 (multiplicity 2)

---

The following is a DFT calculation (PBE-GGA) of crystalline Li5Ca2Ga at its relaxed geometry.

Computed properties:
* calculated formation energy: 0.03 eV per atom
* E: -16.38 eV/cell
* volume: 25.43 A^3/atom

a = 6.353 Å, b = 6.353 Å, c = 5.041 Å
α = 90.00°, β = 90.00°, γ = 90.00°
Space group P4/mmm (No. 123)
One atom of each set of equivalent atoms:
Li 0.000 0.000 0.000 (multiplicity 1)
Li 0.281 0.281 0.500 (multiplicity 4)
Ca 0.000 0.500 0.000 (multiplicity 2)
Ga 0.000 0.000 0.500 (multiplicity 1)

---

The following is a DFT calculation (PBE-GGA) of crystalline Li2Ca3Ga4 at its relaxed geometry.

Computed properties:
* calculated formation energy: -0.39 eV per atom
* E: -50.86 eV/cell
* volume: 21.94 A^3/atom

a = 10.663 Å, b = 4.643 Å, c = 8.870 Å
α = 90.00°, β = 115.92°, γ = 90.00°
Space group C2/m (No. 12)
One atom of each set of equivalent atoms:
Li 0.038 0.000 0.221 (multiplicity 4)
Ca 0.000 0.500 0.000 (multiplicity 2)
Ca 0.186 0.000 0.633 (multiplicity 4)
Ga 0.014 0.500 0.362 (multiplicity 4)
Ga 0.242 0.000 0.084 (multiplicity 4)

---

Look up the E of the third one.
-76.83 eV/cell

---

The highest E belongs to which entry?
LiCa3Ga2

---

What did the fourth record say?
The following is a DFT calculation (PBE-GGA) of crystalline Li2Ca7Ga2 at its relaxed geometry.

Computed properties:
* calculated formation energy: 0.03 eV per atom
* E: -47.06 eV/cell
* volume: 33.82 A^3/atom

a = 7.613 Å, b = 11.615 Å, c = 8.413 Å
α = 90.00°, β = 90.00°, γ = 90.00°
Space group Cmmm (No. 65)
One atom of each set of equivalent atoms:
Li 0.000 0.179 0.000 (multiplicity 4)
Ca 0.000 0.000 0.293 (multiplicity 4)
Ca 0.000 0.500 0.000 (multiplicity 2)
Ca 0.250 0.250 0.296 (multiplicity 8)
Ga 0.163 0.500 0.500 (multiplicity 4)

---

Look up the volume of the fourth one.
33.82 A^3/atom